(1)
Here is a crystal of CaTaCd2 relaxed with PBEsol from Alexandria via LeMat-Bulk. Energies are from SCAN.

## Properties
E_tot   -33.91 eV/atom
Symmetry   No. 12
ρ   8.41 Mg/m³
Density of states at the Fermi level   2.8 states/eV/cell
Energy of formation from the pure elements   0.36 eV per atom

Cell and atoms, written as POSCAR:
```
CaTaCd2
1.0
4.921 -1.452 0.000
4.921 1.452 0.000
-0.623 0.000 6.165
Ca Ta Cd
1 1 2
Direct
0.000 0.000 0.000
0.500 0.500 0.500
0.245 0.245 0.717
0.755 0.755 0.283
```

(2)
Here is a crystal of CaTa2CdTe relaxed with PBEsol from Alexandria via LeMat-Bulk. Energies are from SCAN.

## Properties
E_tot   -39.83 eV/atom
Raw formation energy   2.274 eV/atom
Symmetry   No. 123
ρ   8.64 Mg/m³
Density of states at the Fermi level   4.5 states/eV/cell

Cell and atoms, written as POSCAR:
```
CaTa2CdTe
1.0
4.832 0.000 0.000
0.000 4.832 0.000
0.000 0.000 5.283
Ca Ta Cd Te
1 2 1 1
Direct
0.000 0.000 0.000
0.000 0.500 0.000
0.500 0.000 0.000
0.000 0.000 0.500
0.500 0.500 0.500
```

(3)
Here is a crystal of CaCd2Tc relaxed with PBEsol from Alexandria via LeMat-Bulk. Energies are from SCAN.

## Properties
E_tot   -26.05 eV/atom
Symmetry   No. 44
ρ   7.55 Mg/m³
Density of states at the Fermi level   2.8 states/eV/cell
Offset from the most stable computed form   0.0 meV/atom
Energy of formation from the pure elements   0.34 eV per atom

Cell and atoms, written as POSCAR:
```
CaCd2Tc
1.0
-1.633 2.479 4.929
1.633 -2.479 4.929
1.633 2.479 -4.929
Ca Cd Tc
1 2 1
Direct
0.000 0.000 0.000
0.274 0.774 0.500
0.525 0.525 0.000
0.751 0.251 0.500
```

(4)
Here is a crystal of CaCd2Tc relaxed with PBEsol from Alexandria via LeMat-Bulk. Energies are from SCAN.

## Properties
E_tot   -26.04 eV/atom
Symmetry   No. 71
ρ   7.38 Mg/m³
Density of states at the Fermi level   2.8 states/eV/cell
Offset from the most stable computed form   4.0 meV/atom
Energy of formation from the pure elements   0.34 eV per atom

Cell and atoms, written as POSCAR:
```
CaCd2Tc
1.0
-1.576 2.482 5.217
1.576 -2.482 5.217
1.576 2.482 -5.217
Ca Cd Tc
1 2 1
Direct
0.000 0.000 0.000
0.281 0.781 0.500
0.719 0.219 0.500
0.500 0.500 0.000
```

(5)
Here is a crystal of CaCdTc relaxed with PBEsol from Alexandria via LeMat-Bulk. Energies are from SCAN.

## Properties
E_tot   -24.28 eV/atom
Symmetry   No. 216
ρ   5.69 Mg/m³
Density of states at the Fermi level   1.7 states/eV/cell
Energy of formation from the pure elements   0.77 eV per atom

Cell and atoms, written as POSCAR:
```
CaCdTc
1.0
0.000 3.319 3.319
3.319 0.000 3.319
3.319 3.319 0.000
Ca Cd Tc
1 1 1
Direct
0.000 0.000 0.000
0.500 0.500 0.500
0.250 0.250 0.250
```

(6)
Here is a crystal of CaCdTe2 relaxed with PBEsol from Alexandria via LeMat-Bulk. Energies are from SCAN.

## Properties
E_tot   -29.68 eV/atom
Raw formation energy   -1.032 eV/atom
Symmetry   No. 99
ρ   5.78 Mg/m³
Density of states at the Fermi level   1.2 states/eV/cell

Cell and atoms, written as POSCAR:
```
CaCdTe2
1.0
4.342 0.000 0.000
0.000 4.342 0.000
0.000 0.000 6.217
Ca Cd Te
1 1 2
Direct
0.000 0.000 0.000
0.500 0.500 0.468
0.000 0.000 0.498
0.500 0.500 0.983
```

(7)
Here is a crystal of CaCdTe2 relaxed with PBEsol from Alexandria via LeMat-Bulk. Energies are from SCAN.

## Properties
E_tot   -29.54 eV/atom
Raw formation energy   -0.892 eV/atom
Symmetry   No. 166
ρ   4.11 Mg/m³
Density of states at the Fermi level   0.0 states/eV/cell

Cell and atoms, written as POSCAR:
```
CaCdTe2
1.0
2.405 1.388 8.213
-2.405 1.388 8.213
0.000 -2.777 8.213
Ca Cd Te
1 1 2
Direct
0.000 0.000 0.000
0.500 0.500 0.500
0.394 0.394 0.394
0.606 0.606 0.606
```

(8)
Here is a crystal of CaCdTe2 relaxed with PBEsol from Alexandria via LeMat-Bulk. Energies are from SCAN.

## Properties
E_tot   -29.03 eV/atom
Raw formation energy   -0.381 eV/atom
Symmetry   No. 216
ρ   6.15 Mg/m³
Density of states at the Fermi level   2.0 states/eV/cell

Cell and atoms, written as POSCAR:
```
CaCdTe2
1.0
0.000 3.804 3.804
3.804 0.000 3.804
3.804 3.804 0.000
Ca Cd Te
1 1 2
Direct
0.000 0.000 0.000
0.250 0.250 0.250
0.500 0.500 0.500
0.750 0.750 0.750
```

(9)
Here is a crystal of Ca3CdTe relaxed with PBEsol from Alexandria via LeMat-Bulk. Energies are from SCAN.

## Properties
E_tot   -19.75 eV/atom
Raw formation energy   -0.420 eV/atom
Symmetry   No. 221
ρ   3.09 Mg/m³
Density of states at the Fermi level   4.3 states/eV/cell

Cell and atoms, written as POSCAR:
```
Ca3CdTe
1.0
5.784 0.000 0.000
0.000 5.784 0.000
0.000 0.000 5.784
Ca Cd Te
3 1 1
Direct
0.000 0.000 0.500
0.000 0.500 0.000
0.500 0.000 0.000
0.500 0.500 0.500
0.000 0.000 0.000
```

(10)
Here is a crystal of CaCdTe2 relaxed with PBEsol from Alexandria via LeMat-Bulk. Energies are from SCAN.

## Properties
E_tot   -29.64 eV/atom
Raw formation energy   -0.997 eV/atom
Symmetry   No. 122
ρ   4.42 Mg/m³
Density of states at the Fermi level   0.0 states/eV/cell

Cell and atoms, written as POSCAR:
```
CaCdTe2
1.0
-3.462 3.462 6.392
3.462 -3.462 6.392
3.462 3.462 -6.392
Ca Cd Te
2 2 4
Direct
0.000 0.000 0.000
0.750 0.250 0.500
0.250 0.750 0.500
0.500 0.500 0.000
0.152 0.625 0.027
0.375 0.402 0.527
0.598 0.125 0.973
0.875 0.848 0.473
```

(11)
Here is a crystal of CaCdTe2W relaxed with PBEsol from Alexandria via LeMat-Bulk. Energies are from SCAN.

## Properties
E_tot   -35.93 eV/atom
Raw formation energy   0.926 eV/atom
Symmetry   No. 123
ρ   6.19 Mg/m³
Density of states at the Fermi level   2.4 states/eV/cell

Cell and atoms, written as POSCAR:
```
CaCdTe2W
1.0
5.564 0.000 0.000
0.000 5.564 0.000
0.000 0.000 5.124
Ca Cd Te W
1 1 2 1
Direct
0.000 0.000 0.000
0.500 0.500 0.500
0.000 0.500 0.500
0.500 0.000 0.500
0.500 0.500 0.000
```

(12)
Here is a crystal of CaTlCd relaxed with PBEsol from Alexandria via LeMat-Bulk. Energies are from SCAN.

## Properties
E_tot   -37.82 eV/atom
Symmetry   No. 107
ρ   7.65 Mg/m³
Density of states at the Fermi level   1.0 states/eV/cell
Energy of formation from the pure elements   -0.34 eV per atom

Cell and atoms, written as POSCAR:
```
CaTlCd
1.0
-1.795 1.795 6.007
1.795 -1.795 6.007
1.795 1.795 -6.007
Ca Tl Cd
1 1 1
Direct
0.000 0.000 0.000
0.679 0.679 0.000
0.332 0.332 0.000
```

(13)
Here is a crystal of Ca2TlCd relaxed with PBEsol from Alexandria via LeMat-Bulk. Energies are from SCAN.

## Properties
E_tot   -31.06 eV/atom
Symmetry   No. 123
ρ   6.10 Mg/m³
Density of states at the Fermi level   2.0 states/eV/cell
Energy of formation from the pure elements   -0.53 eV per atom

Cell and atoms, written as POSCAR:
```
Ca2TlCd
1.0
3.686 0.000 0.000
0.000 3.686 0.000
0.000 0.000 7.959
Ca Tl Cd
2 1 1
Direct
0.000 0.000 0.246
0.000 0.000 0.754
0.500 0.500 0.500
0.500 0.500 0.000
```

(14)
Here is a crystal of Ca2TlCd relaxed with PBEsol from Alexandria via LeMat-Bulk. Energies are from SCAN.

## Properties
E_tot   -30.95 eV/atom
Symmetry   No. 8
ρ   5.90 Mg/m³
Density of states at the Fermi level   2.1 states/eV/cell
Energy of formation from the pure elements   -0.42 eV per atom

Cell and atoms, written as POSCAR:
```
Ca2TlCd
1.0
5.847 -1.849 0.000
5.847 1.849 0.000
-1.735 0.000 5.163
Ca Tl Cd
2 1 1
Direct
0.000 0.000 0.000
0.210 0.210 0.650
0.751 0.751 0.176
0.461 0.461 0.479
```

(15)
Here is a crystal of CaTlCd relaxed with PBEsol from Alexandria via LeMat-Bulk. Energies are from SCAN.

## Properties
E_tot   -37.79 eV/atom
Symmetry   No. 216
ρ   6.90 Mg/m³
Density of states at the Fermi level   2.5 states/eV/cell
Energy of formation from the pure elements   -0.31 eV per atom

Cell and atoms, written as POSCAR:
```
CaTlCd
1.0
0.000 3.502 3.502
3.502 0.000 3.502
3.502 3.502 0.000
Ca Tl Cd
1 1 1
Direct
0.000 0.000 0.000
0.500 0.500 0.500
0.250 0.250 0.250
```

(16)
Here is a crystal of Ca2TlCd relaxed with PBEsol from Alexandria via LeMat-Bulk. Energies are from SCAN.

## Properties
E_tot   -30.81 eV/atom
Symmetry   No. 166
ρ   5.55 Mg/m³
Density of states at the Fermi level   3.1 states/eV/cell
Energy of formation from the pure elements   -0.29 eV per atom

Cell and atoms, written as POSCAR:
```
Ca2TlCd
1.0
1.873 1.082 9.760
-1.873 1.082 9.760
0.000 -2.163 9.760
Ca Tl Cd
2 1 1
Direct
0.250 0.250 0.250
0.750 0.750 0.750
0.000 0.000 0.000
0.500 0.500 0.500
```

(17)
Here is a crystal of CaTlCd relaxed with PBEsol from Alexandria via LeMat-Bulk. Energies are from SCAN.

## Properties
E_tot   -37.94 eV/atom
Symmetry   No. 187
ρ   7.72 Mg/m³
Density of states at the Fermi level   0.9 states/eV/cell
Energy of formation from the pure elements   -0.46 eV per atom

Cell and atoms, written as POSCAR:
```
CaTlCd
1.0
4.972 0.000 0.000
-2.486 4.306 0.000
0.000 0.000 3.585
Ca Tl Cd
1 1 1
Direct
0.000 0.000 0.000
0.333 0.667 0.500
0.667 0.333 0.500
```

(18)
Here is a crystal of Ca2TlCd relaxed with PBEsol from Alexandria via LeMat-Bulk. Energies are from SCAN.

## Properties
E_tot   -31.08 eV/atom
Symmetry   No. 25
ρ   6.10 Mg/m³
Density of states at the Fermi level   1.9 states/eV/cell
Energy of formation from the pure elements   -0.55 eV per atom

Cell and atoms, written as POSCAR:
```
Ca2TlCd
1.0
3.728 0.000 0.000
0.000 5.384 0.000
0.000 0.000 5.384
Ca Tl Cd
2 1 1
Direct
0.000 0.000 0.000
0.000 0.500 0.497
0.500 0.000 0.501
0.500 0.500 0.996
```

(19)
Here is a crystal of Ca3CdW relaxed with PBEsol from Alexandria via LeMat-Bulk. Energies are from SCAN.

## Properties
E_tot   -24.63 eV/atom
Symmetry   No. 221
ρ   3.85 Mg/m³
Density of states at the Fermi level   4.0 states/eV/cell
Energy of formation from the pure elements   1.19 eV per atom

Cell and atoms, written as POSCAR:
```
Ca3CdW
1.0
5.644 0.000 0.000
0.000 5.644 0.000
0.000 0.000 5.644
Ca Cd W
3 1 1
Direct
0.000 0.000 0.500
0.000 0.500 0.000
0.500 0.000 0.000
0.000 0.000 0.000
0.500 0.500 0.500
```

(20)
Here is a crystal of CaCdW2 relaxed with PBEsol from Alexandria via LeMat-Bulk. Energies are from SCAN.

## Properties
E_tot   -44.05 eV/atom
Symmetry   No. 160
ρ   11.64 Mg/m³
Density of states at the Fermi level   3.2 states/eV/cell
Energy of formation from the pure elements   0.82 eV per atom

Cell and atoms, written as POSCAR:
```
CaCdW2
1.0
1.446 0.835 10.247
-1.446 0.835 10.247
0.000 -1.670 10.247
Ca Cd W
1 1 2
Direct
0.000 0.000 0.000
0.758 0.758 0.758
0.248 0.248 0.248
0.506 0.506 0.506
```

(21)
Here is a crystal of CaCd3W relaxed with PBEsol from Alexandria via LeMat-Bulk. Energies are from SCAN.

## Properties
E_tot   -32.18 eV/atom
Symmetry   No. 221
ρ   5.73 Mg/m³
Density of states at the Fermi level   2.6 states/eV/cell
Energy of formation from the pure elements   1.93 eV per atom

Cell and atoms, written as POSCAR:
```
CaCd3W
1.0
5.457 0.000 0.000
0.000 5.457 0.000
0.000 0.000 5.457
Ca Cd W
1 3 1
Direct
0.000 0.000 0.000
0.000 0.000 0.500
0.000 0.500 0.000
0.500 0.000 0.000
0.500 0.500 0.500
```

(22)
Here is a crystal of CaCdW2 relaxed with PBEsol from Alexandria via LeMat-Bulk. Energies are from SCAN.

## Properties
E_tot   -43.89 eV/atom
Symmetry   No. 166
ρ   11.72 Mg/m³
Density of states at the Fermi level   3.3 states/eV/cell
Energy of formation from the pure elements   0.98 eV per atom

Cell and atoms, written as POSCAR:
```
CaCdW2
1.0
1.437 0.830 10.305
-1.437 0.830 10.305
0.000 -1.659 10.305
Ca Cd W
1 1 2
Direct
0.000 0.000 0.000
0.500 0.500 0.500
0.246 0.246 0.246
0.754 0.754 0.754
```

(23)
Here is a crystal of CaY2Cd relaxed with PBEsol from Alexandria via LeMat-Bulk. Energies are from SCAN.

## Properties
E_tot   -24.12 eV/atom
Symmetry   No. 71
ρ   4.66 Mg/m³
Density of states at the Fermi level   3.9 states/eV/cell
Energy of formation from the pure elements   -0.18 eV per atom

Cell and atoms, written as POSCAR:
```
CaY2Cd
1.0
-1.845 2.721 5.859
1.845 -2.721 5.859
1.845 2.721 -5.859
Ca Y Cd
1 2 1
Direct
0.000 0.000 0.000
0.284 0.784 0.500
0.716 0.216 0.500
0.500 0.500 0.000
```

(24)
Here is a crystal of CaY2Cd relaxed with PBEsol from Alexandria via LeMat-Bulk. Energies are from SCAN.

## Properties
E_tot   -24.13 eV/atom
Symmetry   No. 99
ρ   4.66 Mg/m³
Density of states at the Fermi level   3.4 states/eV/cell
Energy of formation from the pure elements   -0.19 eV per atom

Cell and atoms, written as POSCAR:
```
CaY2Cd
1.0
3.561 0.000 0.000
0.000 3.561 0.000
0.000 0.000 9.287
Ca Y Cd
1 2 1
Direct
0.000 0.000 0.000
0.000 0.000 0.435
0.500 0.500 0.694
0.500 0.500 0.225
```

(25)
Here is a crystal of Ca2YCd2 relaxed with PBEsol from Alexandria via LeMat-Bulk. Energies are from SCAN.

## Properties
E_tot   -21.89 eV/atom
Symmetry   No. 127
ρ   4.50 Mg/m³
Density of states at the Fermi level   10.1 states/eV/cell
Energy of formation from the pure elements   -0.29 eV per atom

Cell and atoms, written as POSCAR:
```
Ca2YCd2
1.0
8.211 0.000 0.000
0.000 8.211 0.000
0.000 0.000 4.307
Ca Y Cd
4 2 4
Direct
0.169 0.331 0.000
0.331 0.831 0.000
0.669 0.169 0.000
0.831 0.669 0.000
0.000 0.000 0.500
0.500 0.500 0.500
0.129 0.629 0.500
0.371 0.129 0.500
0.629 0.871 0.500
0.871 0.371 0.500
```

(26)
Here is a crystal of CaY2Cd relaxed with PBEsol from Alexandria via LeMat-Bulk. Energies are from SCAN.

## Properties
E_tot   -24.10 eV/atom
Symmetry   No. 123
ρ   4.49 Mg/m³
Density of states at the Fermi level   5.2 states/eV/cell
Energy of formation from the pure elements   -0.16 eV per atom

Cell and atoms, written as POSCAR:
```
CaY2Cd
1.0
3.679 0.000 0.000
0.000 3.679 0.000
0.000 0.000 9.016
Ca Y Cd
1 2 1
Direct
0.000 0.000 0.000
0.500 0.500 0.301
0.500 0.500 0.699
0.000 0.000 0.500
```

(27)
Here is a crystal of CaY2Cd relaxed with PBEsol from Alexandria via LeMat-Bulk. Energies are from SCAN.

## Properties
E_tot   -24.00 eV/atom
Symmetry   No. 166
ρ   4.44 Mg/m³
Density of states at the Fermi level   3.4 states/eV/cell
Energy of formation from the pure elements   -0.06 eV per atom

Cell and atoms, written as POSCAR:
```
CaY2Cd
1.0
1.807 1.044 10.913
-1.807 1.044 10.913
0.000 -2.087 10.913
Ca Y Cd
1 2 1
Direct
0.000 0.000 0.000
0.239 0.239 0.239
0.761 0.761 0.761
0.500 0.500 0.500
```

(28)
Here is a crystal of CaYCd4 relaxed with PBEsol from Alexandria via LeMat-Bulk. Energies are from SCAN.

## Properties
E_tot   -26.92 eV/atom
Symmetry   No. 216
ρ   6.84 Mg/m³
Density of states at the Fermi level   2.8 states/eV/cell
Energy of formation from the pure elements   -0.39 eV per atom

Cell and atoms, written as POSCAR:
```
CaYCd4
1.0
0.000 4.125 4.125
4.125 0.000 4.125
4.125 4.125 0.000
Ca Y Cd
1 1 4
Direct
0.000 0.000 0.000
0.750 0.750 0.750
0.375 0.375 0.375
0.375 0.375 0.874
0.375 0.874 0.375
0.874 0.375 0.375
```

(29)
Here is a crystal of CaZn2Cd relaxed with PBEsol from Alexandria via LeMat-Bulk. Energies are from SCAN.

## Properties
E_tot   -17.02 eV/atom
Symmetry   No. 160
ρ   5.45 Mg/m³
Density of states at the Fermi level   1.7 states/eV/cell
Energy of formation from the pure elements   -0.24 eV per atom

Cell and atoms, written as POSCAR:
```
CaZn2Cd
1.0
2.194 1.267 5.174
-2.194 1.267 5.174
0.000 -2.534 5.174
Ca Zn Cd
1 2 1
Direct
0.000 0.000 0.000
0.461 0.461 0.461
0.793 0.793 0.793
0.206 0.206 0.206
```

(30)
Here is a crystal of CaZnCd relaxed with PBEsol from Alexandria via LeMat-Bulk. Energies are from SCAN.

## Properties
E_tot   -18.21 eV/atom
Symmetry   No. 187
ρ   5.31 Mg/m³
Density of states at the Fermi level   1.8 states/eV/cell
Energy of formation from the pure elements   -0.35 eV per atom

Cell and atoms, written as POSCAR:
```
CaZnCd
1.0
4.691 0.000 0.000
-2.345 4.062 0.000
0.000 0.000 3.574
Ca Zn Cd
1 1 1
Direct
0.000 0.000 0.000
0.667 0.333 0.500
0.333 0.667 0.500
```